1.
The following is a DFT calculation (PBE) of a relaxed PrCo3As3 crystal.

Summary:
The value obtained for the density of states at the Fermi level is 1.058 states/eV per atom. As for the space group: Pm-3n, No. 223. For the energy of formation, the calculation gives -327 meV/atom.

a = 6.3792 Å, b = 6.3792 Å, c = 6.3792 Å
α = 90.00°, β = 90.00°, γ = 90.00°
Positions (direct):
Co 0.5000 0.7500 0.0000
As 0.5000 0.0000 0.7500
Co 0.5000 0.2500 0.0000
Co 0.0000 0.5000 0.2500
Pr 0.5000 0.5000 0.5000
As 0.0000 0.2500 0.5000
As 0.0000 0.7500 0.5000
Co 0.2500 0.0000 0.5000
As 0.2500 0.5000 0.0000
Co 0.7500 0.0000 0.5000
As 0.5000 0.0000 0.2500
Pr 0.0000 0.0000 0.0000
As 0.7500 0.5000 0.0000
Co 0.0000 0.5000 0.7500

2.
The following is a DFT calculation (PBE) of a relaxed PrCoAs2 crystal.

Summary:
The value obtained for the density of states at the Fermi level is 0.692 states/eV per atom. As for the space group: I-4m2, No. 119. For the energy of formation, the calculation gives -793 meV/atom.

a = 4.0709 Å, b = 4.0708 Å, c = 5.6707 Å
α = 111.03°, β = 111.03°, γ = 90.02°
Last column: magnetic moment on the atom in μB.
Positions (direct):
Pr 0.2213 0.8812 0.2282  -0.01
As 0.8620 0.5216 0.5098  0.00
Co 0.4712 0.6313 0.7282  -0.30
As 0.5808 0.2405 0.9465  0.00

3.
The following is a DFT calculation (PBE) of a relaxed Pr2CoAs4Pt3 crystal.

Summary:
The value obtained for the density of states at the Fermi level is 0.270 states/eV per atom. As for the space group: P-4m2, No. 115. For the energy of formation, the calculation gives -823 meV/atom.

a = 4.3668 Å, b = 4.3668 Å, c = 10.1298 Å
α = 90.00°, β = 90.00°, γ = 90.00°
Last column: magnetic moment on the atom in μB.
Positions (direct):
Pr 0.0000 0.5000 0.7449  -0.02
Co 0.5000 0.5000 0.5000  1.23
As 0.5000 0.5000 0.0000  -0.01
As 0.0000 0.5000 0.3730  0.01
Pr 0.5000 0.0000 0.2551  -0.02
As 0.5000 0.0000 0.6270  0.01
Pt 0.0000 0.0000 0.5000  0.13
As 0.0000 0.0000 0.0000  -0.01
Pt 0.0000 0.5000 0.1268  -0.02
Pt 0.5000 0.0000 0.8732  -0.02

4.
The following is a DFT calculation (PBE) of a relaxed Pr2CoAs4Rh3 crystal.

Summary:
The value obtained for the density of states at the Fermi level is 0.511 states/eV per atom. As for the space group: P-4m2, No. 115. For the energy of formation, the calculation gives -857 meV/atom.

a = 4.3029 Å, b = 4.3029 Å, c = 9.9234 Å
α = 90.00°, β = 90.00°, γ = 90.00°
Last column: magnetic moment on the atom in μB.
Positions (direct):
Pr 0.5000 0.0000 0.2499  0.00
As 0.0000 0.5000 0.3723  0.01
Pr 0.0000 0.5000 0.7501  0.00
Co 0.5000 0.5000 0.5000  1.04
Rh 0.5000 0.0000 0.8769  -0.01
Rh 0.0000 0.0000 0.5000  0.21
As 0.0000 0.0000 0.0000  0.00
As 0.5000 0.5000 0.0000  0.00
Rh 0.0000 0.5000 0.1231  -0.01
As 0.5000 0.0000 0.6277  0.01

5.
The following is a DFT calculation (PBE) of a relaxed Pr2Co3As4Rh crystal.

Summary:
The value obtained for the density of states at the Fermi level is 0.547 states/eV per atom. As for the space group: P-4m2, No. 115. For the energy of formation, the calculation gives -792 meV/atom.

a = 4.2170 Å, b = 4.2170 Å, c = 9.5839 Å
α = 90.00°, β = 90.00°, γ = 90.00°
Last column: magnetic moment on the atom in μB.
Positions (direct):
Co 0.0000 0.0000 0.5000  0.82
As 0.5000 0.0000 0.6402  0.00
As 0.5000 0.5000 0.0000  0.00
Co 0.5000 0.0000 0.8882  -0.04
As 0.0000 0.5000 0.3598  0.00
Pr 0.0000 0.5000 0.7562  0.00
Rh 0.5000 0.5000 0.5000  0.12
Co 0.0000 0.5000 0.1118  -0.04
As 0.0000 0.0000 0.0000  0.00
Pr 0.5000 0.0000 0.2438  0.00

6.
The following is a DFT calculation (PBE) of a relaxed PrCoAs2Ru crystal.

Summary:
The value obtained for the density of states at the Fermi level is 0.547 states/eV per atom. As for the space group: I-4m2, No. 119. For the energy of formation, the calculation gives -696 meV/atom.

a = 3.9987 Å, b = 3.9987 Å, c = 6.3679 Å
α = 108.30°, β = 108.30°, γ = 90.00°
Positions (direct):
As 0.6343 0.6343 0.2686
Pr 0.0000 0.0000 0.0000
Co 0.7500 0.2500 0.5000
As 0.3657 0.3657 0.7314
Ru 0.2500 0.7500 0.5000

7.
The following is a DFT calculation (PBE) of a relaxed CoAs4Pt crystal.

Summary:
The value obtained for the density of states at the Fermi level is 1.072 states/eV per atom. As for the space group: F-43m, No. 216. For the energy of formation, the calculation gives 789 meV/atom.

a = 5.3717 Å, b = 5.3717 Å, c = 5.3717 Å
α = 60.00°, β = 60.00°, γ = 60.00°
Last column: magnetic moment on the atom in μB.
Positions (direct):
As 0.3763 0.3763 0.3763  0.04
As 0.3763 0.8711 0.3763  0.04
Pt 0.0000 0.0000 0.0000  0.09
As 0.8711 0.3763 0.3763  0.04
As 0.3763 0.3763 0.8711  0.04
Co 0.7500 0.7500 0.7500  1.90

8.
The following is a DFT calculation (PBE) of a relaxed CoAsPt crystal.

Summary:
The value obtained for the density of states at the Fermi level is 0.934 states/eV per atom. As for the space group: Pmmn, No. 59. For the energy of formation, the calculation gives 44 meV/atom.

a = 2.9495 Å, b = 4.3326 Å, c = 6.7154 Å
α = 90.03°, β = 90.00°, γ = 90.00°
Last column: magnetic moment on the atom in μB.
Positions (direct):
As 0.7500 0.2499 0.4200  -0.02
Pt 0.2500 0.2500 0.1008  0.03
As 0.2500 0.7501 0.5800  -0.02
Co 0.7500 0.7498 0.2854  0.59
Pt 0.7500 0.7500 0.8992  0.03
Co 0.2500 0.2502 0.7146  0.59

9.
The following is a DFT calculation (PBE) of a relaxed Co2AsPt crystal.

Summary:
The value obtained for the density of states at the Fermi level is 0.836 states/eV per atom. As for the space group: P2/m, No. 10. For the energy of formation, the calculation gives 4 meV/atom.

a = 3.7795 Å, b = 2.8088 Å, c = 5.2656 Å
α = 72.93°, β = 90.00°, γ = 90.00°
Last column: magnetic moment on the atom in μB.
Positions (direct):
As 0.5000 0.7500 0.7500  -0.02
Co 0.0000 0.8890 0.9847  1.27
Co 0.0000 0.6110 0.5153  1.27
Pt 0.5000 0.2500 0.2500  0.23

10.
The following is a DFT calculation (PBE) of a relaxed CoAsPt4 crystal.

Summary:
The value obtained for the density of states at the Fermi level is 1.803 states/eV per atom. As for the space group: F-43m, No. 216. For the energy of formation, the calculation gives 375 meV/atom.

a = 5.2564 Å, b = 5.2564 Å, c = 5.2564 Å
α = 60.00°, β = 60.00°, γ = 60.00°
Last column: magnetic moment on the atom in μB.
Positions (direct):
Co 0.0000 0.0000 0.0000  2.06
Pt 0.6253 0.6253 0.6253  0.04
Pt 0.6253 0.1242 0.6253  0.04
Pt 0.6253 0.6253 0.1242  0.04
Pt 0.1242 0.6253 0.6253  0.04
As 0.2500 0.2500 0.2500  -0.05

11.
The following is a DFT calculation (PBE) of a relaxed Co2AsPt crystal.

Summary:
The value obtained for the density of states at the Fermi level is 1.290 states/eV per atom. As for the space group: I-42d, No. 122. For the energy of formation, the calculation gives 550 meV/atom.

a = 4.8076 Å, b = 4.8076 Å, c = 7.0447 Å
α = 70.05°, β = 70.05°, γ = 90.00°
Positions (direct):
Co 0.1473 0.6250 0.2500
As 0.2500 0.7500 0.5000
Pt 0.7500 0.2500 0.5000
As 0.5000 0.5000 0.0000
Co 0.8750 0.8527 0.7500
Pt 0.0000 0.0000 0.0000
Co 0.6027 0.1250 0.2500
Co 0.3750 0.3973 0.7500

12.
The following is a DFT calculation (PBE) of a relaxed Co2AsPt crystal.

Summary:
The value obtained for the density of states at the Fermi level is 0.646 states/eV per atom. As for the space group: Imm2, No. 44. For the energy of formation, the calculation gives 18 meV/atom.

a = 4.6658 Å, b = 4.6658 Å, c = 4.6658 Å
α = 135.60°, β = 130.56°, γ = 68.61°
Last column: magnetic moment on the atom in μB.
Positions (direct):
Co 0.7477 0.2477 0.5000  1.47
Pt 0.4824 0.4824 0.0000  0.12
As 0.2409 0.7409 0.5000  -0.02
Co 0.0290 0.0290 0.0000  0.99

13.
The following is a DFT calculation (PBE) of a relaxed Co2AsPt crystal.

Summary:
The value obtained for the density of states at the Fermi level is 1.120 states/eV per atom. As for the space group: Pmmm, No. 47. For the energy of formation, the calculation gives 49 meV/atom.

a = 2.7933 Å, b = 3.4967 Å, c = 5.4284 Å
α = 90.00°, β = 90.00°, γ = 90.00°
Last column: magnetic moment on the atom in μB.
Positions (direct):
As 0.5000 0.5000 0.7500  0.01
Pt 0.5000 0.5000 0.2500  0.25
Co 0.0000 0.0000 0.5128  1.34
Co 0.0000 0.0000 0.9872  1.34

14.
The following is a DFT calculation (PBE) of a relaxed Co2AsPt crystal.

Summary:
The value obtained for the density of states at the Fermi level is 0.892 states/eV per atom. As for the space group: C2/m, No. 12. For the energy of formation, the calculation gives 31 meV/atom.

a = 4.4956 Å, b = 4.4956 Å, c = 4.1508 Å
α = 62.41°, β = 62.41°, γ = 47.33°
Last column: magnetic moment on the atom in μB.
Positions (direct):
Co 0.5230 0.5230 0.4774  1.24
Co 0.9770 0.9770 0.0226  1.24
As 0.2500 0.2500 0.2500  -0.02
Pt 0.7500 0.7500 0.7500  0.22